# 1
A relaxed structure of CdTe2SI, computed with PBE.

ΔE_f (raw), kcal/mol of atoms: 18.63
Polymorph energy (0 for the lowest one), eV/f.u.: 2.105
Raw total energy, eV per cell: -8.8

Cell: 5.6515 5.6515 5.5607 Å, 90.00 90.00 90.00°
Last column: nearest neighbours and their distance in Å.
Positions (direct):
I (0.0000, 0.0000, 0.5000)  2 Cd 2.78
S (0.5000, 0.5000, 0.5000)  8 Te 3.96, 4 I 4.00
Te (0.0000, 0.5000, 0.0000)  2 Cd 2.83
Te (0.5000, 0.0000, 0.0000)  2 Cd 2.83
Cd (0.0000, 0.0000, 0.0000)  2 I 2.78, 4 Te 2.83

---

# 2
A relaxed structure of NaMnCdSn2, computed with PBE.

Raw total energy, eV per cell: -18.9

Cell: 4.9403 4.9403 5.2372 Å, 90.00 90.00 90.00°
Last column: nearest neighbours and their distance in Å.
Positions (direct):
Cd (0.0000, 0.0000, 0.5000)  2 Mn 2.62
Sn (0.0000, 0.5000, 0.0000)  2 Mn 2.47
Sn (0.5000, 0.0000, 0.0000)  2 Mn 2.47
Mn (0.0000, 0.0000, 0.0000)  4 Sn 2.47, 2 Cd 2.62
Na (0.5000, 0.5000, 0.5000)  4 Cd 3.49, 8 Sn 3.60

---

# 3
A relaxed structure of TbPm5Ge2, computed with PBE.

Raw total energy, eV per cell: -40.1

Cell: 4.4879 7.5765 7.5765 Å, 78.95 72.77 72.77°
Last column: nearest neighbours and their distance in Å.
Positions (direct):
Pm (0.0000, 0.5000, 0.5000)  2 Ge 3.19, 8 Pm 3.37
Pm (0.6597, 0.1503, 0.5302)  3 Ge 3.03-3.24, 4 Pm 3.19-3.37
Pm (0.3403, 0.4698, 0.8497)  3 Ge 3.03-3.24, 4 Pm 3.19-3.37
Pm (0.6597, 0.5302, 0.1503)  3 Ge 3.03-3.24, 4 Pm 3.19-3.37
Pm (0.3403, 0.8497, 0.4698)  3 Ge 3.03-3.24, 4 Pm 3.19-3.37
Tb (0.0000, 0.0000, 0.0000)  4 Ge 3.15
Ge (0.2953, 0.2047, 0.2047)  7 Pm 3.03-3.24, 2 Tb 3.15
Ge (0.7047, 0.7953, 0.7953)  7 Pm 3.03-3.24, 2 Tb 3.15

---

# 4
A relaxed structure of Zr5Pd2Pt, computed with PBE.

Raw total energy, eV per cell: -126.2

Cell: 4.7857 6.2144 10.9552 Å, 90.00 90.00 90.00°
Last column: nearest neighbours and their distance in Å.
Positions (direct):
Zr (0.0000, 0.5000, 0.0000)  8 Zr 3.09-3.31, 2 Pt 3.11, 4 Pd 3.17
Zr (0.0000, 0.8557, 0.2252)  1 Pt 2.63, 2 Pd 2.90
Zr (0.0000, 0.0000, 0.5000)  8 Zr 3.09-3.31, 2 Pt 3.11, 4 Pd 3.17
Zr (0.5000, 0.2884, 0.5711)  3 Pd 2.72-2.97, 2 Pt 2.84
Zr (0.0000, 0.6443, 0.7252)  1 Pt 2.63, 2 Pd 2.90
Zr (0.0000, 0.3557, 0.2748)  1 Pt 2.63, 2 Pd 2.90
Zr (0.0000, 0.1443, 0.7748)  1 Pt 2.63, 2 Pd 2.90
Zr (0.5000, 0.2116, 0.0711)  3 Pd 2.72-2.97, 2 Pt 2.84
Zr (0.5000, 0.7884, 0.9289)  3 Pd 2.72-2.97, 2 Pt 2.84
Zr (0.5000, 0.7116, 0.4289)  3 Pd 2.72-2.97, 2 Pt 2.84
Pd (0.5000, 0.8950, 0.6797)  7 Zr 2.72-3.03
Pd (0.5000, 0.6050, 0.1797)  7 Zr 2.72-3.03
Pd (0.5000, 0.3950, 0.8203)  7 Zr 2.72-3.03
Pd (0.5000, 0.1050, 0.3203)  7 Zr 2.72-3.03
Pt (0.0000, 0.0000, 0.0000)  6 Zr 2.63-2.84
Pt (0.0000, 0.5000, 0.5000)  6 Zr 2.63-2.84

---

Looking at D(E_F) for the records above, in order, we have 1.4946; 0.4458; 1.1862; 1.2849 states/eV/atom.